Material: Pm6Ir2CBr3
Method: DFT, PBE-GGA
State: relaxed

Structure (POSCAR):
```
Pm6Ir2CBr3
1.0
3.519 -6.097 0.000
3.519 6.097 0.000
-2.308 0.000 7.604
Pm Ir C Br
6 2 1 3
direct
0.061 0.372 0.187 Pm
0.253 0.253 0.813 Pm
0.372 0.061 0.187 Pm
0.628 0.939 0.813 Pm
0.747 0.747 0.187 Pm
0.939 0.628 0.813 Pm
0.333 0.667 0.000 Ir
0.667 0.333 0.000 Ir
0.000 0.000 0.000 C
0.162 0.838 0.500 Br
0.500 0.500 0.500 Br
0.838 0.162 0.500 Br
```

Calculated values
Magnetization = 0.000 μB/atom
Formation energy from raw total energies = -980.3 meV per atom